A relaxed structure of PdPbW2N. Source: Alexandria via LeMat-Bulk, functional PBE.

```
data_PdPbW2N
_space_group_name_H-M_alt 'P 4/m m m'
_space_group_IT_number 123
_space_group_name_Hall '-P 4 2'
_cell_length_a 5.195
_cell_length_b 5.195
_cell_length_c 4.096
_cell_angle_alpha 90.00
_cell_angle_beta 90.00
_cell_angle_gamma 90.00
loop_
_atom_site_label
_atom_site_type_symbol
_atom_site_fract_x
_atom_site_fract_y
_atom_site_fract_z
_atom_site_occupancy
Pd1 Pd 0.000 0.000 0.000 1
Pb1 Pb 0.500 0.500 0.500 1
W1 W 0.000 0.500 0.500 1
N1 N 0.500 0.500 0.000 1
```

Output
Uncorrected energy   -27.4 eV/cell
Formation energy without anion corrections   3.15 eV per atom